Below is a relaxed Y3BiC crystal, with properties calculated at the GGA-PBE level.

Structure (extended XYZ):
```
10
Lattice="3.0787 -8.6137 0.0000 3.0787 8.6137 0.0000 0.0000 0.0000 6.0405" Properties=species:S:1:pos:R:3 pbc="T T T"
Y 0.0000 0.0000 0.0000
Y 0.0000 0.0000 3.0203
Y 1.5332 2.8244 1.5101
Y 1.5332 -2.8244 4.5304
Y 4.6241 2.8244 1.5101
Y 4.6241 -2.8244 4.5304
Bi 3.0787 5.7278 1.5101
Bi 3.0787 -5.7278 4.5304
C 3.0787 1.3080 1.5101
C 3.0787 -1.3080 4.5304
```

Energy of formation in eV per formula unit: 2.2
VASP energy in eV per formula unit: -30.2
Fermi-level density of states in states/eV/f.u.: 1.754
Space group: Cmcm (63)